# 1
! Co2P, relaxed, DFT PBE; values from VASP
! Density of states at the Fermi level ... 6.381 states/eV per cell
! Energy of formation ... -0.288 eV/atom
! Calculated density ... 7.55 g/cm³
! Uncorrected energy ... -41.0 eV per cell
! Size of the total moment ... 1.23 μB/f.u.
&SYSTEM
  ibrav = 0, nat = 6, ntyp = 2
/
ATOMIC_SPECIES
Co 58.93 Co.upf
P 30.97 P.upf
CELL_PARAMETERS angstrom
1.370 4.282 0.001
-1.370 4.282 0.001
0.000 0.513 5.578
ATOMIC_POSITIONS crystal
Co 0.960 0.960 0.953
Co 0.337 0.337 0.353
Co 0.696 0.696 0.698
Co 0.610 0.610 0.275
P 0.986 0.986 0.560
P 0.245 0.245 0.994



# 2
! Ce2Al2S7, relaxed, DFT PBE; values from VASP
! Calculated density ... 3.24 g/cm³
! Uncorrected energy ... -62.6 eV per cell
! Formation energy from raw total energies ... -1.30 eV per atom
! Size of the total moment ... 0.00 μB/f.u.
&SYSTEM
  ibrav = 0, nat = 11, ntyp = 3
/
ATOMIC_SPECIES
Ce 140.12 Ce.upf
Al 26.98 Al.upf
S 32.06 S.upf
CELL_PARAMETERS angstrom
6.215 -0.074 -0.107
-0.751 6.857 0.494
-0.751 -1.945 6.594
ATOMIC_POSITIONS crystal
Ce 0.500 0.298 0.702
Ce 0.500 0.702 0.298
Al 0.917 0.232 0.232
Al 0.083 0.768 0.768
S 0.269 0.919 0.565
S 0.731 0.435 0.081
S 0.731 0.081 0.435
S 0.269 0.565 0.919
S 0.000 0.000 0.000
S 0.758 0.596 0.596
S 0.242 0.404 0.404



# 3
! Cu2NiIr, relaxed, DFT PBE; values from VASP
! Density of states at the Fermi level ... 4.181 states/eV per cell
! Energy of formation ... 0.066 eV/atom
! Calculated density ... 12.62 g/cm³
! Uncorrected energy ... -22.6 eV per cell
! Size of the total moment ... 0.01 μB/f.u.
! ΔE to the lowest computed polymorph ... 0.0139 eV per atom
&SYSTEM
  ibrav = 0, nat = 4, ntyp = 3
/
ATOMIC_SPECIES
Ni 58.69 Ni.upf
Ir 192.22 Ir.upf
Cu 63.55 Cu.upf
CELL_PARAMETERS angstrom
2.644 0.000 0.000
0.000 2.644 0.000
0.000 0.000 7.114
ATOMIC_POSITIONS crystal
Ni 0.500 0.500 0.756
Ir 0.000 0.000 0.508
Cu 0.000 0.000 0.996
Cu 0.500 0.500 0.240



# 4
! BeGaP2N, relaxed, DFT PBE; values from VASP
! Density of states at the Fermi level ... 2.015 states/eV per cell
! Calculated density ... 3.92 g/cm³
! Uncorrected energy ... -24.0 eV per cell
! Formation energy from raw total energies ... 0.39 eV per atom
! Size of the total moment ... 0.00 μB/f.u.
&SYSTEM
  ibrav = 0, nat = 5, ntyp = 4
/
ATOMIC_SPECIES
P 30.97 P.upf
Be 9.01 Be.upf
Ga 69.72 Ga.upf
N 14.01 N.upf
CELL_PARAMETERS angstrom
-4.091 0.921 -1.753
0.582 -1.990 -2.404
-1.797 -3.420 2.395
ATOMIC_POSITIONS crystal
P 0.000 0.000 0.500
P 0.500 0.000 0.000
Be 0.000 0.500 0.000
Ga 0.500 0.500 0.500
N 0.000 0.000 0.000



# 5
! Zr2AgPb, relaxed, DFT PBE; values from VASP
! Density of states at the Fermi level ... 4.056 states/eV per cell
! Energy of formation ... -0.040 eV/atom
! Calculated density ... 9.41 g/cm³
! Uncorrected energy ... -23.8 eV per cell
! Size of the total moment ... 0.00 μB/f.u.
&SYSTEM
  ibrav = 0, nat = 4, ntyp = 3
/
ATOMIC_SPECIES
Ag 107.87 Ag.upf
Pb 207.20 Pb.upf
Zr 91.22 Zr.upf
CELL_PARAMETERS angstrom
3.169 0.067 0.000
-0.062 3.169 0.000
0.000 0.000 8.743
ATOMIC_POSITIONS crystal
Ag 0.500 0.500 0.250
Pb 0.500 0.500 0.750
Zr 0.000 0.000 0.015
Zr 0.000 0.000 0.485



# 6
! BaMnCrCu2, relaxed, DFT PBE; values from VASP
! Density of states at the Fermi level ... 5.997 states/eV per cell
! Energy of formation ... 0.721 eV/atom
! Calculated density ... 5.89 g/cm³
! Uncorrected energy ... -25.3 eV per cell
! Size of the total moment ... 3.94 μB/f.u.
&SYSTEM
  ibrav = 0, nat = 5, ntyp = 4
/
ATOMIC_SPECIES
Cr 52.00 Cr.upf
Mn 54.94 Mn.upf
Ba 137.33 Ba.upf
Cu 63.55 Cu.upf
CELL_PARAMETERS angstrom
4.907 0.000 0.000
0.000 4.907 0.000
0.000 0.000 4.345
ATOMIC_POSITIONS crystal
Cr 0.000 0.000 0.000
Mn 0.000 0.000 0.500
Ba 0.500 0.500 0.500
Cu 0.000 0.500 0.000
Cu 0.500 0.000 0.000



# 7
! ScNi3H, relaxed, DFT PBE; values from VASP
! Density of states at the Fermi level ... 1.204 states/eV per cell
! Calculated density ... 6.83 g/cm³
! Uncorrected energy ... -58.2 eV per cell
! Size of the total moment ... 0.00 μB/f.u.
! ΔE to the lowest computed polymorph ... 0.0000 eV per atom
&SYSTEM
  ibrav = 0, nat = 10, ntyp = 3
/
ATOMIC_SPECIES
Sc 44.96 Sc.upf
H 1.01 H.upf
Ni 58.69 Ni.upf
CELL_PARAMETERS angstrom
5.338 0.000 0.000
2.670 4.625 0.000
0.000 0.000 4.370
ATOMIC_POSITIONS crystal
Sc 0.740 0.369 0.181
Sc 0.073 0.702 0.681
H 0.073 0.701 0.181
H 0.740 0.369 0.681
Ni 0.558 0.731 0.682
Ni 0.102 0.187 0.682
Ni 0.254 0.883 0.182
Ni 0.255 0.339 0.181
Ni 0.559 0.187 0.681
Ni 0.711 0.883 0.182



# 8
! Nd4TlTe2, relaxed, DFT PBE; values from VASP
! Density of states at the Fermi level ... 14.261 states/eV per cell
! Calculated density ... 7.13 g/cm³
! Uncorrected energy ... -67.2 eV per cell
! Formation energy from raw total energies ... -0.84 eV per atom
! Size of the total moment ... 0.00 μB/f.u.
&SYSTEM
  ibrav = 0, nat = 14, ntyp = 3
/
ATOMIC_SPECIES
Nd 144.24 Nd.upf
Tl 204.38 Tl.upf
Te 127.60 Te.upf
CELL_PARAMETERS angstrom
8.473 -1.223 -0.188
-1.831 8.363 0.187
-3.184 -3.697 7.028
ATOMIC_POSITIONS crystal
Nd 0.939 0.250 0.310
Nd 0.311 0.500 0.190
Nd 0.940 0.629 0.690
Nd 0.750 0.061 0.690
Nd 0.371 0.060 0.310
Nd 0.310 0.121 0.810
Nd 0.500 0.689 0.810
Nd 0.879 0.690 0.190
Tl 0.250 0.750 0.500
Tl 0.000 0.000 0.000
Te 0.625 0.375 0.750
Te 0.625 0.875 0.250
Te 0.625 0.375 0.250
Te 0.125 0.375 0.750